# 1
{"formula": "MnCdAg2F", "functional": "PBE with a Hubbard U", "state": "optimized geometry", "final_energy_ev_per_cell": -15.9, "dos_ef_per_ev_fu": 2.0, "cell": [[-1.8831, -1.8377, 3.9047], [-3.6646, -1.4017, -2.4270], [2.1531, -4.0922, -0.8876]], "species": ["F", "Mn", "Ag", "Ag", "Cd"], "fractional_positions": [[0.0000, 0.0000, 0.0000], [0.5000, 0.5000, 0.5000], [0.0000, 0.0000, 0.5000], [0.5000, 0.0000, 0.0000], [0.0000, 0.5000, 0.0000]]}

# 2
{"formula": "MnCdAg2F6", "functional": "PBE with a Hubbard U", "state": "optimized geometry", "final_energy_ev_per_cell": -43.1, "dos_ef_per_ev_fu": 0.1, "cell": [[4.3643, 0.0000, 0.0000], [0.0000, 6.1585, 0.0000], [0.0000, 0.0000, 6.1585]], "species": ["Mn", "Cd", "Ag", "Ag", "F", "F", "F", "F", "F", "F"], "fractional_positions": [[0.6527, 0.0000, 0.0000], [0.6394, 0.5000, 0.5000], [0.0046, 0.5000, 0.0000], [0.0046, 0.0000, 0.5000], [0.7070, 0.2424, 0.2424], [0.7070, 0.2424, 0.7576], [0.1484, 0.5000, 0.5000], [0.1692, 0.0000, 0.0000], [0.7070, 0.7576, 0.7576], [0.7070, 0.7576, 0.2424]]}